10
Lattice="2.6938 -1.2745 4.6166 0.9814 -5.2613 1.2450 6.5687 -1.9015 -1.0876" Properties=species:S:1:pos:R:3 comment="PBE-GGA RbReO3, relaxed" space_group="R-3, No. 148" final_energy_ev_per_atom=-7.1532 magnetic_moment_mub_per_fu=1.67 pbc="T T T"
Rb 2.9426 -4.3316 3.6275
O 5.2846 -4.7928 4.8826
Rb 7.3013 -4.1056 1.1466
Re 6.3254 -6.3983 4.3532
O 4.9593 -3.6445 -0.1085
O 3.4364 -5.9530 1.5298
O 3.7333 -2.0611 2.4059
O 6.8075 -2.4843 3.2443
O 6.5106 -6.3762 2.3681
Re 3.9185 -2.0389 0.4209